No. 1
Here is AcGdLuPb after structural relaxation from Alexandria. Energies are from PBE.

a b c (Å): 7.9497 7.9497 7.9497
angles (deg): 90.00 90.00 90.00
Element x y z (fractional)
1 Ac 0.0000 0.0000 0.0000
2 Ac 0.0000 0.5000 0.5000
3 Ac 0.5000 0.0000 0.5000
4 Ac 0.5000 0.5000 0.0000
5 Gd 0.2500 0.2500 0.7500
6 Gd 0.2500 0.7500 0.2500
7 Gd 0.7500 0.2500 0.2500
8 Gd 0.7500 0.7500 0.7500
9 Lu 0.2500 0.2500 0.2500
10 Lu 0.2500 0.7500 0.7500
11 Lu 0.7500 0.2500 0.7500
12 Lu 0.7500 0.7500 0.2500
13 Pb 0.0000 0.0000 0.5000
14 Pb 0.0000 0.5000 0.0000
15 Pb 0.5000 0.0000 0.0000
16 Pb 0.5000 0.5000 0.5000

Values from the calculation:
Symmetry: F-43m
DOS(E_F) in states/eV/atom: 1.116
ΔH_f (0 K) in meV/atom: -37

---

No. 2
Here is ErMn4W after structural relaxation from Alexandria. Energies are from PBE.

a b c (Å): 4.9144 4.9144 4.9144
angles (deg): 60.00 60.00 60.00
Element x y z (fractional)
1 Er 0.0000 0.0000 0.0000
2 Mn 0.1260 0.6247 0.6247
3 Mn 0.6247 0.1260 0.6247
4 Mn 0.6247 0.6247 0.1260
5 Mn 0.6247 0.6247 0.6247
6 W 0.2500 0.2500 0.2500

Values from the calculation:
Symmetry: F-43m
DOS(E_F) in states/eV/atom: 1.006
ΔH_f (0 K) in meV/atom: 110

---

No. 3
Here is Dy2TiSi4Ir3 after structural relaxation from Alexandria. Energies are from PBE.

a b c (Å): 4.0615 4.0615 10.4589
angles (deg): 90.00 90.00 90.00
Element x y z (fractional)
1 Dy 0.0000 0.5000 0.2454
2 Dy 0.5000 0.0000 0.7546
3 Ti 0.0000 0.0000 0.5000
4 Si 0.0000 0.0000 0.0000
5 Si 0.0000 0.5000 0.6456
6 Si 0.5000 0.0000 0.3544
7 Si 0.5000 0.5000 0.0000
8 Ir 0.0000 0.5000 0.8756
9 Ir 0.5000 0.0000 0.1244
10 Ir 0.5000 0.5000 0.5000

Values from the calculation:
Symmetry: P-4m2
ΔE_f (raw) in kcal/mol of atoms: -21.92
DOS(E_F) in states/eV/atom: 0.654

---

No. 4
Here is IrPtPb2O after structural relaxation from Alexandria. Energies are from PBE.

a b c (Å): 3.7350 5.5845 5.8418
angles (deg): 103.47 108.38 90.08
Element x y z (fractional)
1 Ir 0.0000 0.0000 0.0000
2 Pt 0.7717 0.6466 0.5465
3 Pb 0.0829 0.5426 0.1644
4 Pb 0.7479 0.1381 0.4986
5 O 0.4930 0.9993 0.9861

Values from the calculation:
Symmetry: P1
ΔE_f (raw) in kcal/mol of atoms: -2.95
Relative energy among the computed polymorphs in meV per atom: 41
DOS(E_F) in states/eV/atom: 0.392

---

No. 5
Here is AlTlOs4 after structural relaxation from Alexandria. Energies are from PBE.

a b c (Å): 5.2385 5.2385 5.2385
angles (deg): 60.00 60.00 60.00
Element x y z (fractional)
1 Al 0.0000 0.0000 0.0000
2 Tl 0.2500 0.2500 0.2500
3 Os 0.1240 0.6253 0.6253
4 Os 0.6253 0.1240 0.6253
5 Os 0.6253 0.6253 0.1240
6 Os 0.6253 0.6253 0.6253

Values from the calculation:
Symmetry: F-43m
DOS(E_F) in states/eV/atom: 1.759
ΔH_f (0 K) in meV/atom: 828

---

No. 6
Here is BaOs3Rh after structural relaxation from Alexandria. Energies are from PBE.

a b c (Å): 4.8315 4.8315 4.8315
angles (deg): 90.00 90.00 90.00
Element x y z (fractional)
1 Ba 0.0000 0.0000 0.0000
2 Os 0.0000 0.5000 0.5000
3 Os 0.5000 0.0000 0.5000
4 Os 0.5000 0.5000 0.0000
5 Rh 0.5000 0.5000 0.5000

Values from the calculation:
Symmetry: Pm-3m
Relative energy among the computed polymorphs in meV per atom: 0
DOS(E_F) in states/eV/atom: 1.130
ΔH_f (0 K) in meV/atom: 1785

---

No. 7
Here is Dy2Ho3Tm6Zr after structural relaxation from Alexandria. Energies are from PBE.

a b c (Å): 6.0201 6.0201 11.5092
angles (deg): 94.99 94.99 119.92
Element x y z (fractional)
1 Dy 0.1669 0.8331 0.0000
2 Dy 0.8331 0.1669 0.0000
3 Ho 0.0000 0.0000 0.5000
4 Ho 0.3335 0.6665 0.5000
5 Ho 0.6665 0.3335 0.5000
6 Tm 0.0917 0.4186 0.7547
7 Tm 0.2548 0.2548 0.2448
8 Tm 0.4186 0.0917 0.7547
9 Tm 0.5814 0.9083 0.2453
10 Tm 0.7452 0.7452 0.7552
11 Tm 0.9083 0.5814 0.2453
12 Zr 0.5000 0.5000 0.0000

Values from the calculation:
Symmetry: C2/m
DOS(E_F) in states/eV/atom: 1.284
ΔH_f (0 K) in meV/atom: 43

---

No. 8
Here is TbNd4Tm2Th after structural relaxation from Alexandria. Energies are from PBE.

a b c (Å): 11.4007 5.1215 10.1874
angles (deg): 90.00 116.66 90.00
Element x y z (fractional)
1 Tb 0.0000 0.0000 0.0000
2 Tb 0.5000 0.5000 0.0000
3 Nd 0.2484 0.5000 0.6228
4 Nd 0.2491 0.0000 0.8726
5 Nd 0.2509 0.5000 0.1274
6 Nd 0.2516 0.0000 0.3772
7 Nd 0.7484 0.0000 0.6228
8 Nd 0.7491 0.5000 0.8726
9 Nd 0.7509 0.0000 0.1274
10 Nd 0.7516 0.5000 0.3772
11 Tm 0.0013 0.5000 0.7474
12 Tm 0.4987 0.0000 0.2526
13 Tm 0.5013 0.0000 0.7474
14 Tm 0.9987 0.5000 0.2526
15 Th 0.0000 0.0000 0.5000
16 Th 0.5000 0.5000 0.5000

Values from the calculation:
Symmetry: C2/m
DOS(E_F) in states/eV/atom: 1.605
ΔH_f (0 K) in meV/atom: 42

---

No. 9
Here is Pt2PbO4 after structural relaxation from Alexandria. Energies are from PBE.

a b c (Å): 5.5882 6.4484 6.8274
angles (deg): 83.43 68.43 68.26
Element x y z (fractional)
1 Pt 0.0000 0.0000 0.0000
2 Pt 0.0000 0.0000 0.5000
3 Pt 0.0000 0.5000 0.0000
4 Pt 0.5000 0.0000 0.0000
5 Pb 0.3679 0.4220 0.3271
6 Pb 0.6321 0.5780 0.6729
7 O 0.0680 0.4566 0.7078
8 O 0.1787 0.9142 0.7081
9 O 0.3269 0.0648 0.3070
10 O 0.3998 0.3340 0.9651
11 O 0.6002 0.6660 0.0349
12 O 0.6731 0.9352 0.6930
13 O 0.8213 0.0858 0.2919
14 O 0.9320 0.5434 0.2922

Values from the calculation:
Symmetry: P-1
ΔE_f (raw) in kcal/mol of atoms: -12.71
Relative energy among the computed polymorphs in meV per atom: 172
DOS(E_F) in states/eV/atom: 0.459

---

No. 10
Here is ScSnI after structural relaxation from Alexandria. Energies are from PBE.

a b c (Å): 4.1500 4.1500 12.8730
angles (deg): 80.83 80.77 60.00
Element x y z (fractional)
1 Sc 0.2343 0.2329 0.2973
2 Sc 0.7657 0.7671 0.7027
3 Sn 0.1455 0.1459 0.5635
4 Sn 0.8545 0.8541 0.4365
5 I 0.3849 0.3871 0.8449
6 I 0.6151 0.6129 0.1551

Values from the calculation:
Symmetry: P-1
ΔE_f (raw) in kcal/mol of atoms: -16.79
DOS(E_F) in states/eV/atom: 0.294

---

No. 11
Here is Ca2Ti2Cr after structural relaxation from Alexandria. Energies are from PBE.

a b c (Å): 3.6375 3.6375 19.8687
angles (deg): 90.00 90.00 90.00
Element x y z (fractional)
1 Ca 0.0000 0.0000 0.1024
2 Ca 0.0000 0.0000 0.8976
3 Ca 0.5000 0.5000 0.3976
4 Ca 0.5000 0.5000 0.6024
5 Ti 0.0000 0.5000 0.2500
6 Ti 0.0000 0.5000 0.7500
7 Ti 0.5000 0.0000 0.2500
8 Ti 0.5000 0.0000 0.7500
9 Cr 0.0000 0.0000 0.5000
10 Cr 0.5000 0.5000 0.0000

Values from the calculation:
Symmetry: I4/mmm
Relative energy among the computed polymorphs in meV per atom: 0
DOS(E_F) in states/eV/atom: 0.868
ΔH_f (0 K) in meV/atom: 676

---

No. 12
Here is NiBAu2Se after structural relaxation from Alexandria. Energies are from PBE.

a b c (Å): 4.2657 4.2657 4.6329
angles (deg): 90.00 90.00 90.00
Element x y z (fractional)
1 Ni 0.0000 0.0000 0.0000
2 B 0.5000 0.5000 0.5000
3 Au 0.0000 0.5000 0.5000
4 Au 0.5000 0.0000 0.5000
5 Se 0.5000 0.5000 0.0000

Values from the calculation:
Symmetry: P4/mmm
ΔE_f (raw) in kcal/mol of atoms: 16.47
DOS(E_F) in states/eV/atom: 1.123

---

Look up the DOS(E_F) of the first one. 1.116 states/eV/atom

---

Which of these has the highest DOS(E_F)? AlTlOs4